First-principles (PBE-GGA) data for a relaxed Be2SiTe4 crystal, as listed in Alexandria via LeMat-Bulk.

Values from the calculation:
total DFT energy (no corrections)	-3.7469	eV per atom
symmetry	No. 121
uncorrected formation energy	-0.79	eV per formula unit

Unit cell a=5.8008 b=5.8008 c=7.6090 alpha=112.36 beta=112.36 gamma=90.00
Positions (direct):
Be 0.0001 0.5001 0.0001
Be 0.5001 0.0001 0.0001
Si 0.0000 0.0000 0.9999
Te 0.8638 0.8638 0.2281
Te 0.3638 0.3638 0.2280
Te 0.6361 0.1363 0.7719
Te 0.1363 0.6361 0.7719